Density functional theory data (PBE with a Hubbard U) for crystalline NaVF3 at its relaxed geometry.

Unit cell a=4.0400 b=4.0400 c=4.0400 alpha=90.00 beta=90.00 gamma=90.00
Element x y z (fractional)
Na 0.0000 0.0000 0.0000
F 0.0000 0.5000 0.0000
V 0.5000 0.5000 0.5000
F 0.5000 0.0000 0.0000
F 0.0000 0.0000 0.5000

The density of states at the Fermi level comes out at 1.277 states/eV/atom. Its volume is 13.19 A^3/atom. The symmetry is Pm-3m. As for the total magnetic moment: 3.00 Bohr magnetons per cell. The energy comes out at -4.54 eV per atom.